A plane-wave DFT calculation with PBE was carried out for a relaxed YBe2HgSb crystal.

a = 4.491 Å, b = 4.491 Å, c = 5.828 Å
α = 90.00°, β = 90.00°, γ = 90.00°
Element x y z (fractional)
Y 0.000 0.000 0.000
Be 0.000 0.500 0.500
Be 0.500 0.000 0.500
Hg 0.000 0.000 0.500
Sb 0.500 0.500 0.000

Calculated values
volume	23.51	A^3/atom
total energy	-3.35	eV/atom
ΔE_f (raw)	153	kJ/mol of formula units
mass density	6.1	g cm⁻³